## ScCo3Cu (GGA-PBE)

Data for a relaxed ScCo3Cu crystal.

## Properties
ΔE_f   1442 meV/atom
Volume   16.6 A^3/atom
Energy   -24.5 eV/f.u.
Energy above the lowest structure with this stoichiometry   658 meV per atom
Spin magnetization   0.583 μB/atom
Crystal system   cubic

Lattice parameters (Å, degrees): 4.3582 4.3582 4.3582 90.00 90.00 90.00
With the nearest neighbours (Å) after each atom.
Fractional coordinates of all 5 atoms:
Sc1 0.0000 0.0000 0.0000  6 Co 2.18
Co1 0.0000 0.5000 0.0000  2 Sc 2.18
Co2 0.0000 0.0000 0.5000  2 Sc 2.18
Co3 0.5000 0.0000 0.0000  2 Sc 2.18
Cu1 0.5000 0.5000 0.5000  12 Co 3.08

---

## ScCoCu2 (GGA-PBE)

Data for a relaxed ScCoCu2 crystal.

## Properties
ΔE_f   -18 meV/atom
Volume   13.9 A^3/atom
Energy   -21.7 eV/f.u.
Spin magnetization   0.209 μB/atom
Crystal system   orthorhombic

Lattice parameters (Å, degrees): 3.0146 3.5662 5.1885 90.00 90.00 90.00
With the nearest neighbours (Å) after each atom.
Fractional coordinates of all 4 atoms:
Cu1 0.0000 0.0000 0.9795  1 Cu 2.38, 4 Co 2.62
Cu2 0.0000 0.0000 0.5205  1 Cu 2.38, 4 Co 2.62
Co1 0.5000 0.5000 0.7500  2 Sc 2.59, 8 Cu 2.62
Sc1 0.5000 0.5000 0.2500  2 Co 2.59, 8 Cu 2.72

---

## ScCoCu (GGA-PBE)

Data for a relaxed ScCoCu crystal.

## Properties
ΔE_f   216 meV/atom
Volume   15.4 A^3/atom
Energy   -16.9 eV/f.u.
Spin magnetization   0.227 μB/atom
Crystal system   trigonal

Lattice parameters (Å, degrees): 3.0170 3.0170 5.8642 90.00 90.00 120.00
With the nearest neighbours (Å) after each atom.
Fractional coordinates of all 3 atoms:
Sc1 0.3333 0.6667 0.6853  3 Co 2.55, 3 Cu 2.79
Cu1 0.6667 0.3333 0.3127  3 Co 2.52, 3 Sc 2.79
Co1 0.0000 0.0000 0.0020  3 Cu 2.52, 3 Sc 2.55

---

## ScCo2Cu (GGA-PBE)

Data for a relaxed ScCo2Cu crystal.

## Properties
ΔE_f   -42 meV/atom
Volume   13.8 A^3/atom
Energy   -24.8 eV/f.u.
Spin magnetization   0.731 μB/atom
Crystal system   orthorhombic

Lattice parameters (Å, degrees): 3.1023 3.0628 6.5664 62.20 90.00 90.00
With the nearest neighbours (Å) after each atom.
Fractional coordinates of all 4 atoms:
Co1 0.0000 0.9604 0.0395  4 Co 2.47, 1 Cu 2.48, 4 Sc 2.73
Co2 0.5000 0.2622 0.2378  4 Co 2.47, 4 Cu 2.55
Cu1 0.0000 0.5341 0.4660  5 Co 2.48-2.55, 4 Sc 2.76
Sc1 0.5000 0.7434 0.7567  6 Co 2.73-3.01, 4 Cu 2.76

---

## Sc2CoCu (GGA-PBE)

Data for a relaxed Sc2CoCu crystal.

## Properties
ΔE_f   222 meV/atom
Volume   19.0 A^3/atom
Energy   -23.0 eV/f.u.
Energy above the lowest structure with this stoichiometry   540 meV per atom
Spin magnetization   0.000 μB/atom
Crystal system   orthorhombic

Lattice parameters (Å, degrees): 7.3082 7.3082 7.3082 37.57 155.36 152.09
With the nearest neighbours (Å) after each atom.
Fractional coordinates of all 4 atoms:
Cu1 0.0000 0.5000 0.5000  4 Co 2.35
Co1 0.0000 0.0000 0.0000  2 Sc 2.23, 4 Cu 2.35
Sc1 0.0000 0.1614 0.1614  1 Co 2.23
Sc2 0.0000 0.8386 0.8386  1 Co 2.23

---

## ScCoCu2 (GGA-PBE)

Data for a relaxed ScCoCu2 crystal.

## Properties
ΔE_f   -144 meV/atom
Volume   13.4 A^3/atom
Energy   -22.2 eV/f.u.
Spin magnetization   0.000 μB/atom
Crystal system   orthorhombic

Lattice parameters (Å, degrees): 4.8255 4.8255 3.6191 67.97 67.97 44.22
With the nearest neighbours (Å) after each atom.
Fractional coordinates of all 4 atoms:
Co1 0.2500 0.2500 0.2500  4 Sc 2.56, 8 Cu 2.73-2.74
Cu1 0.4997 0.4997 0.5003  4 Cu 2.56, 4 Co 2.73-2.74, 4 Sc 2.73
Cu2 0.0003 0.0003 0.9997  4 Cu 2.56, 4 Co 2.73-2.74, 4 Sc 2.73
Sc1 0.7500 0.7500 0.7500  4 Co 2.56, 8 Cu 2.73